A relaxed SrBeP2Cl crystal, computed with GGA-PBE.

abc: 4.2029 4.2029 5.9810
angles: 90.00 90.00 90.00
Closest atoms and distances in Å follow each position.
Fractional positions:
Sr (0.0000, 0.0000, 0.0000)  4 Cl 2.97
Be (0.5000, 0.5000, 0.5000)  4 P 2.10
P (0.0000, 0.5000, 0.5000)  2 Be 2.10
P (0.5000, 0.0000, 0.5000)  2 Be 2.10
Cl (0.5000, 0.5000, 0.0000)  4 Sr 2.97, 2 Be 2.99

Results
ΔE_f (raw) in eV/atom: -0.57
Crystal system: tetragonal
Fermi-level density of states in states/eV/atom: 0.397
E in Ha/atom: -0.154
Symmetry: P4/mmm (123)
Total magnetic moment in μB per formula unit: 0.000
Energy relative to the lowest polymorph listed for this composition in meV/atom: 0